The following is a PBE calculation of a relaxed structure of Na3Ga7Au2, from Alexandria via LeMat-Bulk.

Properties
* DFT total energy: -33.9 eV per cell
* SG: No. 166
* energy relative to the elements: -0.18 eV per atom

abc: 5.6901 5.6901 9.3425
angles: 72.27 72.27 60.00
With the nearest neighbours (Å) after each atom.
Fractional coordinates of all 12 atoms:
1 Ga 0.5000 0.5000 0.5000  6 Ga 2.77
2 Na 0.8573 0.8573 0.4281  12 Ga 3.22-3.34, 3 Na 3.52
3 Ga 0.5906 0.0702 0.7486  2 Au 2.69-2.81, 5 Ga 2.73-2.96
4 Ga 0.9298 0.4094 0.2514  2 Au 2.69-2.81, 5 Ga 2.73-2.96
5 Ga 0.5906 0.5906 0.7486  2 Au 2.69-2.81, 5 Ga 2.73-2.96
6 Ga 0.4094 0.4094 0.2514  2 Au 2.69-2.81, 5 Ga 2.73-2.96
7 Au 0.3381 0.3381 0.9856  6 Ga 2.69-2.81
8 Na 0.0000 0.0000 0.0000  6 Au 3.29, 12 Ga 3.60
9 Na 0.1427 0.1427 0.5719  12 Ga 3.22-3.34, 3 Na 3.52
10 Au 0.6619 0.6619 0.0144  6 Ga 2.69-2.81
11 Ga 0.0702 0.5906 0.7486  2 Au 2.69-2.81, 5 Ga 2.73-2.96
12 Ga 0.4094 0.9298 0.2514  2 Au 2.69-2.81, 5 Ga 2.73-2.96